The following is a PBE calculation of an optimized crystal structure of Zr2BeNi, from the Alexandria database.

Geometry as POSCAR:
```
Zr2BeNi
1.0
-4.8957 2.5958 -0.4546
-4.8303 -2.3131 1.4935
5.1317 1.4666 1.5581
Be Zr Ni
1 2 1
Direct
0.4482 0.4482 0.0000
0.0171 0.0171 0.0000
0.7478 0.2478 0.5000
0.2869 0.7869 0.5000
```

**Spin magnetization**: 0.000 μB per formula unit
**Calculated volume**: 16.4 A^3/atom
**D(E_F)**: 3.049 states/eV/f.u.
**Formation energy**: -0.17 eV/atom